# 1
Material: Sm2AlGa3
Method: DFT, GGA-PBE
State: relaxed

Values from the calculation:
Density ... 6.7 Mg/m³
Electronic total energy ... -4.340 eV/atom

Unit cell a=4.1289 b=4.3305 c=14.9829 alpha=90.00 beta=90.00 gamma=90.00
Last column: nearest neighbours and their distance in Å.
Space group Imm2 (No. 44)
Inequivalent atoms, fractional coordinates:
Sm 0.0000 0.0000 0.0000 (multiplicity 2)  8 Ga 3.21-3.29, 4 Al 3.27
Sm 0.0000 0.5000 0.2596 (multiplicity 2)  10 Ga 3.20-3.27, 2 Al 3.29
Al 0.0000 0.0000 0.5884 (multiplicity 2)  3 Ga 2.48-2.50
Ga 0.0000 0.0000 0.4226 (multiplicity 2)  2 Ga 2.44, 1 Al 2.48
Ga 0.0000 0.5000 0.6712 (multiplicity 2)  1 Ga 2.47, 2 Al 2.50
Ga 0.0000 0.5000 0.8360 (multiplicity 2)  3 Ga 2.44-2.47

# 2
Material: Ba2HfAl
Method: DFT, GGA-PBE
State: relaxed

Values from the calculation:
Density ... 5.8 Mg/m³
Electronic total energy ... -3.620 eV/atom

Unit cell a=9.2661 b=9.2661 c=6.4228 alpha=90.00 beta=90.00 gamma=90.00
Last column: nearest neighbours and their distance in Å.
Space group I-42d (No. 122)
Inequivalent atoms, fractional coordinates:
Ba 0.2336 0.2500 0.1250 (multiplicity 8)  2 Ba 3.23, 2 Al 3.27, 2 Hf 3.48
Hf 0.0000 0.0000 0.5000 (multiplicity 4)  2 Al 3.21, 4 Ba 3.48
Al 0.0000 0.0000 0.0000 (multiplicity 4)  2 Hf 3.21, 4 Ba 3.27

# 3
Material: Tb2MgHg4
Method: DFT, GGA-PBE
State: relaxed

Values from the calculation:
Density ... 10.4 Mg/m³
Electronic total energy ... -2.057 eV/atom

Unit cell a=5.0027 b=5.0027 c=25.2093 alpha=90.00 beta=90.00 gamma=120.00
Last column: nearest neighbours and their distance in Å.
Space group R-3m (No. 166, hexagonal axes)
Inequivalent atoms, fractional coordinates:
Tb 0.0000 0.0000 0.2501 (multiplicity 6)  8 Hg 3.07-3.16
Mg 0.0000 0.0000 0.0000 (multiplicity 3)  8 Hg 3.08-3.22
Hg 0.0000 0.0000 0.1277 (multiplicity 6)  4 Tb 3.09-3.10, 1 Mg 3.22
Hg 0.0000 0.0000 0.3754 (multiplicity 6)  4 Tb 3.07-3.16, 3 Mg 3.08

# 4
Material: Ce6Ir2RuBr3
Method: DFT, GGA-PBE
State: relaxed

Values from the calculation:
Density ... 7.8 Mg/m³
Energy relative to the elements, uncorrected ... -0.975 eV/atom

Unit cell a=7.0746 b=12.2538 c=8.0175 alpha=90.00 beta=107.10 gamma=90.00
Last column: nearest neighbours and their distance in Å.
Space group C2/m (No. 12)
Inequivalent atoms, fractional coordinates:
Ce 0.2303 0.1647 0.1970 (multiplicity 8)  1 Ru 2.78, 2 Ir 2.81
Ce 0.2363 0.5000 0.1970 (multiplicity 4)  1 Ru 2.78, 2 Ir 2.81
Ir 0.0000 0.3333 0.0000 (multiplicity 4)  6 Ce 2.81
Ru 0.0000 0.0000 0.0000 (multiplicity 2)  6 Ce 2.78
Br 0.0000 0.1663 0.5000 (multiplicity 4)  6 Ce 3.30-3.33
Br 0.0000 0.5000 0.5000 (multiplicity 2)  6 Ce 3.30-3.33

# 5
Material: AcPrCdPd
Method: DFT, GGA-PBE
State: relaxed

Values from the calculation:
Density ... 8.5 Mg/m³
Electronic total energy ... -4.183 eV/atom

Unit cell a=7.7160 b=7.7160 c=7.7160 alpha=90.00 beta=90.00 gamma=90.00
Last column: nearest neighbours and their distance in Å.
Space group F-43m (No. 216)
Inequivalent atoms, fractional coordinates:
Ac 0.0000 0.0000 0.0000 (multiplicity 4)  4 Cd 3.34, 4 Pd 3.34
Pr 0.0000 0.0000 0.5000 (multiplicity 4)  4 Cd 3.34, 4 Pd 3.34
Cd 0.2500 0.2500 0.2500 (multiplicity 4)  4 Ac 3.34, 4 Pr 3.34
Pd 0.2500 0.2500 0.7500 (multiplicity 4)  4 Ac 3.34, 4 Pr 3.34

# 6
Material: LiUSiRu
Method: DFT, GGA-PBE
State: relaxed

Values from the calculation:
Density ... 9.6 Mg/m³
Energy relative to the elements, uncorrected ... -0.129 eV/atom

Unit cell a=6.3789 b=6.3789 c=6.3789 alpha=90.00 beta=90.00 gamma=90.00
Last column: nearest neighbours and their distance in Å.
Space group F-43m (No. 216)
Inequivalent atoms, fractional coordinates:
Li 0.0000 0.0000 0.0000 (multiplicity 4)  4 U 2.76, 4 Si 2.76
U 0.2500 0.2500 0.2500 (multiplicity 4)  4 Li 2.76, 4 Ru 2.76
Si 0.2500 0.2500 0.7500 (multiplicity 4)  4 Li 2.76, 4 Ru 2.76
Ru 0.0000 0.0000 0.5000 (multiplicity 4)  4 U 2.76, 4 Si 2.76

Q: What is the density in the second record?
A: 5.8 Mg/m³